The following is a DFT calculation (meta-GGA SCAN) of a crystal of Bi2Te2SeO10 relaxed with PBEsol.

Properties
Formation energy without anion corrections   -16.3 eV/f.u.

Geometry as extended XYZ:
```
30
Lattice="7.9397 -3.7767 0.0000 7.9397 3.7767 0.0000 -2.9389 0.0000 7.4989" Properties=species:S:1:pos:R:3 pbc="T T T"
Bi 2.5184 1.0987 1.1166
Bi 1.0489 -1.0987 4.8660
Bi 11.8915 1.0987 2.6329
Bi 10.4221 -1.0987 6.3823
Te 4.5697 0.5236 3.9814
Te 6.0391 -0.5236 0.2320
Te 6.9013 0.5236 7.2669
Te 8.3708 -0.5236 3.5174
Se 7.2050 2.9865 1.8747
Se 5.7355 -2.9865 5.6242
O 3.7459 1.7865 2.8455
O 0.5599 0.1427 2.3646
O -0.9095 -0.1427 6.1141
O 1.7761 0.8469 7.4511
O 7.5209 2.0454 0.5309
O 6.8890 2.0454 3.2185
O 3.7138 0.9146 5.6621
O 3.2456 -0.8469 3.7017
O 10.6640 1.7865 0.9039
O 5.1832 -0.9146 1.9127
O 7.7572 0.9146 5.5862
O 2.2764 -1.7865 6.5950
O 9.6949 0.8469 3.7972
O 9.2267 -0.9146 1.8367
O 6.0515 -2.0454 4.2803
O 5.4195 -2.0454 6.9680
O 11.1643 -0.8469 0.0477
O 13.8500 0.1427 1.3848
O 12.3805 -0.1427 5.1342
O 9.1946 -1.7865 4.6534
```